Computed, not measured: a relaxed La3Sm8Ho crystal at the GGA-PBE level of DFT.

Structure (POSCAR):
```
La3Sm8Ho
1.0
-4.441 4.441 5.744
4.441 -4.441 5.744
4.441 4.441 -5.744
La Sm Ho
3 8 1
Direct
0.000 0.000 0.000
0.250 0.750 0.500
0.750 0.250 0.500
0.130 0.130 0.755
0.246 0.741 0.000
0.259 0.259 0.505
0.375 0.375 0.245
0.625 0.870 0.000
0.741 0.246 0.000
0.754 0.754 0.495
0.870 0.625 0.000
0.500 0.500 0.000
```

Output
- D(E_F) (states/eV/f.u.) = 18.8
- formation energy from the elements (eV per atom) = 0.5488
- symmetry = I-42m, No. 121
- size of the total moment (μB per formula unit) = 0.01
- energy (eV/atom) = -4.2107


Computed, not measured: a relaxed KLaSeBr2 crystal at the GGA-PBE level of DFT.

Structure (POSCAR):
```
KLaSeBr2
1.0
5.483 0.000 0.000
0.000 5.483 0.000
0.000 0.000 5.877
K La Se Br
1 1 1 2
Direct
0.000 0.000 0.000
0.500 0.500 0.500
0.000 0.000 0.500
0.000 0.500 0.000
0.500 0.000 0.000
```

Output
- energy relative to the lowest polymorph listed for this composition (meV per atom) = 948
- D(E_F) (states/eV/f.u.) = 4.6
- formation energy from raw total energies (eV per formula unit) = -3.94
- symmetry = P4/mmm, No. 123
- size of the total moment (μB per formula unit) = 0.13
- energy (eV/atom) = -3.3585


Copy entry 1 word for word.
Computed, not measured: a relaxed La3Sm8Ho crystal at the GGA-PBE level of DFT.

Structure (POSCAR):
```
La3Sm8Ho
1.0
-4.441 4.441 5.744
4.441 -4.441 5.744
4.441 4.441 -5.744
La Sm Ho
3 8 1
Direct
0.000 0.000 0.000
0.250 0.750 0.500
0.750 0.250 0.500
0.130 0.130 0.755
0.246 0.741 0.000
0.259 0.259 0.505
0.375 0.375 0.245
0.625 0.870 0.000
0.741 0.246 0.000
0.754 0.754 0.495
0.870 0.625 0.000
0.500 0.500 0.000
```

Output
- D(E_F) (states/eV/f.u.) = 18.8
- formation energy from the elements (eV per atom) = 0.5488
- symmetry = I-42m, No. 121
- size of the total moment (μB per formula unit) = 0.01
- energy (eV/atom) = -4.2107


Copy entry 1 word for word.
Computed, not measured: a relaxed La3Sm8Ho crystal at the GGA-PBE level of DFT.

Structure (POSCAR):
```
La3Sm8Ho
1.0
-4.441 4.441 5.744
4.441 -4.441 5.744
4.441 4.441 -5.744
La Sm Ho
3 8 1
Direct
0.000 0.000 0.000
0.250 0.750 0.500
0.750 0.250 0.500
0.130 0.130 0.755
0.246 0.741 0.000
0.259 0.259 0.505
0.375 0.375 0.245
0.625 0.870 0.000
0.741 0.246 0.000
0.754 0.754 0.495
0.870 0.625 0.000
0.500 0.500 0.000
```

Output
- D(E_F) (states/eV/f.u.) = 18.8
- formation energy from the elements (eV per atom) = 0.5488
- symmetry = I-42m, No. 121
- size of the total moment (μB per formula unit) = 0.01
- energy (eV/atom) = -4.2107


Copy entry 1 word for word.
Computed, not measured: a relaxed La3Sm8Ho crystal at the GGA-PBE level of DFT.

Structure (POSCAR):
```
La3Sm8Ho
1.0
-4.441 4.441 5.744
4.441 -4.441 5.744
4.441 4.441 -5.744
La Sm Ho
3 8 1
Direct
0.000 0.000 0.000
0.250 0.750 0.500
0.750 0.250 0.500
0.130 0.130 0.755
0.246 0.741 0.000
0.259 0.259 0.505
0.375 0.375 0.245
0.625 0.870 0.000
0.741 0.246 0.000
0.754 0.754 0.495
0.870 0.625 0.000
0.500 0.500 0.000
```

Output
- D(E_F) (states/eV/f.u.) = 18.8
- formation energy from the elements (eV per atom) = 0.5488
- symmetry = I-42m, No. 121
- size of the total moment (μB per formula unit) = 0.01
- energy (eV/atom) = -4.2107